Entry 1:
Compound: LaBiP2O
Source: Alexandria
Functional: GGA-PBE
Structure: relaxed

Lattice parameters (Å, degrees): 5.1934 5.1934 4.3127 90.00 90.00 90.00
With the nearest neighbours (Å) after each atom.
Fractional coordinates of all 5 atoms:
P (0.0000, 0.5000, 0.0000)  2 Bi 2.60
P (0.5000, 0.0000, 0.0000)  2 Bi 2.60
Bi (0.0000, 0.0000, 0.0000)  2 O 2.16
O (0.0000, 0.0000, 0.5000)  2 Bi 2.16
La (0.5000, 0.5000, 0.5000)  8 P 3.38, 4 O 3.67

Values from the calculation:
**E above lowest polymorph**: 0.00 eV per formula unit
**Crystal system**: tetragonal
**Uncorrected formation energy**: -0.3568 eV per atom

---

Entry 2:
Compound: La3BiPO
Source: Alexandria
Functional: GGA-PBE
Structure: relaxed

Lattice parameters (Å, degrees): 4.3223 9.0826 9.4366 103.02 90.00 90.00
With the nearest neighbours (Å) after each atom.
Fractional coordinates of all 12 atoms:
La (0.2500, 0.8301, 0.4756)  3 O 2.34-2.43
La (0.7500, 0.8844, 0.1484)  1 O 2.40
La (0.7500, 0.4323, 0.1593)  3 P 2.92-2.99
La (0.7500, 0.1699, 0.5244)  3 O 2.34-2.43
La (0.2500, 0.5677, 0.8407)  3 P 2.92-2.99
La (0.2500, 0.1156, 0.8516)  1 O 2.40
Bi (0.7500, 0.8194, 0.7693)  7 La 3.32-3.53, 1 O 3.70
Bi (0.2500, 0.1806, 0.2307)  7 La 3.32-3.53, 1 O 3.70
P (0.2500, 0.6586, 0.1575)  6 La 2.92-3.05
P (0.7500, 0.3414, 0.8425)  6 La 2.92-3.05
O (0.2500, 0.0860, 0.5925)  4 La 2.34-2.43
O (0.7500, 0.9140, 0.4075)  4 La 2.34-2.43

Values from the calculation:
**Crystal system**: monoclinic
**Uncorrected formation energy**: -1.8505 eV per atom

---

Entry 3:
Compound: LaBiPO2
Source: Alexandria
Functional: GGA-PBE
Structure: relaxed

Lattice parameters (Å, degrees): 4.3135 4.3135 6.3114 90.00 90.00 90.00
With the nearest neighbours (Å) after each atom.
Fractional coordinates of all 5 atoms:
P (0.0000, 0.0000, 0.5000)  4 Bi 3.05, 2 La 3.16
Bi (0.5000, 0.5000, 0.5000)  4 P 3.05
O (0.0000, 0.5000, 0.0000)  2 La 2.16
O (0.5000, 0.0000, 0.0000)  2 La 2.16
La (0.0000, 0.0000, 0.0000)  4 O 2.16

Values from the calculation:
**E above lowest polymorph**: 0.66 eV per formula unit
**Crystal system**: tetragonal
**Uncorrected formation energy**: -0.9459 eV per atom

---

Entry 4:
Compound: LaBiPO2
Source: Alexandria
Functional: GGA-PBE
Structure: relaxed

Lattice parameters (Å, degrees): 4.4063 4.4063 5.2020 90.00 90.00 90.00
With the nearest neighbours (Å) after each atom.
Fractional coordinates of all 5 atoms:
P (0.0000, 0.0000, 0.5000)  2 Bi 2.60
Bi (0.0000, 0.0000, 0.0000)  4 O 2.20
O (0.0000, 0.5000, 0.0000)  2 Bi 2.20
O (0.5000, 0.0000, 0.0000)  2 Bi 2.20
La (0.5000, 0.5000, 0.5000)  4 P 3.12, 8 O 3.41

Values from the calculation:
**E above lowest polymorph**: 0.00 eV per formula unit
**Crystal system**: tetragonal
**Uncorrected formation energy**: -1.0773 eV per atom